(1)
The following is a PBE calculation of crystalline Cu at its relaxed geometry, from the Alexandria database.

Computed properties:
As for the formation enthalpy at 0 K: 14.4 kJ/mol of atoms. The value obtained for the total energy is -3.95 eV per atom. As for the total magnetization: 0.000 μB/cell. The energy relative to the lowest polymorph listed for this composition is 149 meV/atom. For the volume, the calculation gives 12.527 Å³ per atom.

Unit cell a=4.2025 b=4.2025 c=2.5118 alpha=90.00 beta=90.00 gamma=145.61
Closest atoms and distances in Å follow each position.
Sites, in units of the cell vectors:
Cu 0.1341 0.8659 0.7500  10 Cu 2.48-2.57
Cu 0.8659 0.1341 0.2500  10 Cu 2.48-2.57

(2)
The following is a PBE calculation of crystalline LiTlAgPd at its relaxed geometry, from the Alexandria database.

Computed properties:
As for the formation enthalpy at 0 K: -24.5 kJ/mol of atoms. The value obtained for the total energy is -3.33 eV per atom. As for the total magnetization: 0.000 μB/cell. For the volume, the calculation gives 17.670 Å³ per atom.

Unit cell a=4.6409 b=4.6409 c=4.6409 alpha=60.00 beta=60.00 gamma=60.00
Closest atoms and distances in Å follow each position.
Sites, in units of the cell vectors:
Li 0.0000 0.0000 0.0000  4 Tl 2.84, 4 Ag 2.84
Tl 0.2500 0.2500 0.2500  4 Pd 2.84, 4 Li 2.84
Ag 0.7500 0.7500 0.7500  4 Pd 2.84, 4 Li 2.84
Pd 0.5000 0.5000 0.5000  4 Ag 2.84, 4 Tl 2.84

(3)
The following is a PBE calculation of crystalline LaNdNi10 at its relaxed geometry, from the Alexandria database.

Computed properties:
As for the formation enthalpy at 0 K: -26.9 kJ/mol of atoms. The value obtained for the total energy is -5.90 eV per atom. As for the total magnetization: 2.801 μB/cell. For the volume, the calculation gives 14.221 Å³ per atom.

Unit cell a=3.9724 b=4.9825 c=8.6219 alpha=90.00 beta=90.00 gamma=90.00
Closest atoms and distances in Å follow each position.
Sites, in units of the cell vectors:
La 0.0000 0.0000 0.0000  18 Ni 2.88-3.20
Nd 0.0000 0.5000 0.5000  18 Ni 2.87-3.19
Ni 0.0000 0.0000 0.3336  6 Ni 2.45
Ni 0.0000 0.0000 0.6664  6 Ni 2.45
Ni 0.0000 0.5000 0.1670  6 Ni 2.45
Ni 0.0000 0.5000 0.8330  6 Ni 2.45
Ni 0.5000 0.0000 0.5000  8 Ni 2.45-2.48
Ni 0.5000 0.2514 0.2523  8 Ni 2.45-2.51
Ni 0.5000 0.2514 0.7477  8 Ni 2.45-2.51
Ni 0.5000 0.5000 0.0000  8 Ni 2.45-2.50
Ni 0.5000 0.7486 0.2523  8 Ni 2.45-2.51
Ni 0.5000 0.7486 0.7477  8 Ni 2.45-2.51